## TlIrOs2 (PBE)

Data for a geometry-optimized TlIrOs2 structure.

```
TlIrOs2
1.0
2.822 0.000 0.000
0.000 3.793 0.000
-0.009 0.000 6.199
Tl Ir Os
1 1 2
direct
0.000 0.000 0.000
0.501 0.500 0.723
0.498 0.500 0.297
0.999 0.000 0.492
```

ΔH_f (0 K) ... 627 meV per atom
Space-group type ... Pm, No. 6
Calculated density ... 19.445 g/cm3
E above lowest polymorph ... 129 meV/atom